The following is a DFT calculation (GGA-PBE) of crystalline Tb5CeEr2Th at its relaxed geometry.

Geometry as CIF:
```
data_Tb5CeEr2Th
_symmetry_space_group_name_H-M 'C m c 21'
_symmetry_Int_Tables_number 36
_cell_length_a 5.698
_cell_length_b 21.235
_cell_length_c 9.733
_cell_angle_alpha 90.00
_cell_angle_beta 90.00
_cell_angle_gamma 90.00
loop_
_symmetry_equiv_pos_as_xyz
'x,y,z'
'-x,-y,z+1/2'
'-x,y,z'
'x,-y,z+1/2'
'x+1/2,y+1/2,z'
'-x+1/2,-y+1/2,z+1/2'
'-x+1/2,y+1/2,z'
'x+1/2,-y+1/2,z+1/2'
loop_
_atom_site_label
_atom_site_type_symbol
_atom_site_fract_x
_atom_site_fract_y
_atom_site_fract_z
Tb1 Tb 0.000 0.014 0.000
Tb2 Tb 0.000 0.271 0.307
Tb3 Tb 0.000 0.302 0.689
Tb4 Tb 0.000 0.396 0.022
Tb5 Tb 0.000 0.469 0.723
Ce1 Ce 0.000 0.190 0.005
Er1 Er 0.000 0.116 0.312
Er2 Er 0.000 0.127 0.700
Th1 Th 0.000 0.407 0.405
```

Calculated values
- N(E_F) (states/eV/f.u.) = 14.8
- ΔH_f (0 K) (eV/atom) = 0.184
- calculated volume (Å³/f.u.) = 294.4
- calculated density (Mg/m³) = 8.47
- VASP energy (eV per atom) = -4.89